Entry from Alexandria via LeMat-Bulk: a relaxed structure of Cs2SrErI6 (PBE-GGA).

## Properties
uncorrected energy	-3.1314	eV per atom
total magnetic moment	1.55	μB per cell
density of states at the Fermi level	9.2	states/eV per cell
energy relative to the elements, uncorrected	-1.406	eV per atom
SG	Pmmn

Geometry as POSCAR:
```
Cs2SrErI6
1.0
8.8398 0.0000 0.0000
0.0000 8.8542 0.0000
0.0000 0.0000 12.5160
Cs I Sr Er
4 12 2 2
Direct
0.0000 0.2488 0.7489 Cs
0.5000 0.7512 0.7511 Cs
0.5000 0.7512 0.2489 Cs
0.0000 0.2488 0.2511 Cs
0.5000 0.2492 0.7418 I
0.2579 0.4906 0.5000 I
0.7421 0.4906 0.5000 I
0.7579 0.5094 0.0000 I
0.7583 0.9927 0.0000 I
0.2417 0.9927 0.0000 I
0.7417 0.0073 0.5000 I
0.2583 0.0073 0.5000 I
0.5000 0.2492 0.2582 I
0.0000 0.7508 0.7582 I
0.2421 0.5094 0.0000 I
0.0000 0.7508 0.2418 I
0.0000 0.7492 0.5000 Sr
0.5000 0.2508 0.0000 Sr
0.0000 0.7509 0.0000 Er
0.5000 0.2491 0.5000 Er
```